Entry 1:
Below is a geometry-optimized RbMg2Fe2Sb3 structure, with properties calculated at the PBE level.

Calculated values
The value obtained for the total energy is -4.134 eV/atom. The total magnetization comes out at 6.63 Bohr magnetons per cell. As for the crystal system: tetragonal.

Unit cell a=4.378 b=4.378 c=11.342 alpha=90.00 beta=90.00 gamma=90.00
Atoms (fractional coordinates):
Rb: 0.000 0.000 0.000
Sb: 0.000 0.000 0.500
Mg: 0.500 0.000 0.653
Mg: 0.000 0.500 0.347
Sb: 0.500 0.500 0.200
Fe: 0.000 0.500 0.659
Fe: 0.500 0.000 0.341
Sb: 0.500 0.500 0.800

***

Entry 2:
Below is a geometry-optimized LaNbGaIr2 structure, with properties calculated at the PBE level.

Calculated values
The value obtained for the total energy is -7.582 eV/atom. The total magnetization comes out at 0.51 Bohr magnetons per cell. As for the crystal system: tetragonal.

Unit cell a=6.318 b=6.318 c=6.318 alpha=140.36 beta=140.36 gamma=57.30
Atoms (fractional coordinates):
Ir: 0.749 0.249 0.500
Ir: 0.249 0.749 0.500
Nb: 0.627 0.627 0.000
Ga: 0.383 0.383 0.000
La: 0.991 0.991 0.000

***

Entry 3:
Below is a geometry-optimized GdMgZn structure, with properties calculated at the PBE level.

Calculated values
The value obtained for the total energy is -2.443 eV/atom. The total magnetization comes out at 0.00 Bohr magnetons per cell. As for the crystal system: trigonal.

Unit cell a=3.528 b=3.528 c=13.616 alpha=90.00 beta=90.00 gamma=120.00
Atoms (fractional coordinates):
Mg: 0.333 0.667 0.739
Gd: 0.667 0.333 0.364
Gd: 0.000 0.000 0.156
Zn: 0.667 0.333 0.880
Zn: 0.333 0.667 0.991
Mg: 0.000 0.000 0.564

***

Entry 4:
Below is a geometry-optimized YMgSiIr structure, with properties calculated at the PBE level.

Calculated values
The total magnetization comes out at 0.00 Bohr magnetons per cell. As for the crystal system: cubic. The value obtained for the energy above the lowest structure with this stoichiometry is 6 meV/atom.

Unit cell a=4.614 b=4.614 c=4.614 alpha=60.00 beta=60.00 gamma=60.00
Atoms (fractional coordinates):
Mg: 0.750 0.750 0.750
Si: 0.250 0.250 0.250
Y: 0.000 0.000 0.000
Ir: 0.500 0.500 0.500

***

Entry 5:
Below is a geometry-optimized AcGa2Pt2 structure, with properties calculated at the PBE level.

Calculated values
The value obtained for the total energy is -5.425 eV/atom. The total magnetization comes out at 0.01 Bohr magnetons per cell. As for the crystal system: tetragonal.

Unit cell a=4.508 b=4.508 c=10.221 alpha=90.00 beta=90.00 gamma=90.00
Atoms (fractional coordinates):
Ga: 0.000 0.500 0.621
Pt: 0.500 0.000 0.130
Pt: 0.500 0.500 0.500
Ac: 0.500 0.000 0.748
Ga: 0.500 0.000 0.379
Ac: 0.000 0.500 0.252
Pt: 0.000 0.500 0.870
Pt: 0.000 0.000 0.500
Ga: 0.500 0.500 0.000
Ga: 0.000 0.000 0.000

***

Entry 6:
Below is a geometry-optimized Ta3Nb3Sb2 structure, with properties calculated at the PBE level.

Calculated values
The value obtained for the total energy is -9.454 eV/atom. The total magnetization comes out at 0.00 Bohr magnetons per cell. As for the crystal system: trigonal.

Unit cell a=5.301 b=5.301 c=5.301 alpha=90.01 beta=90.01 gamma=90.01
Atoms (fractional coordinates):
Nb: 0.251 0.000 0.749
Nb: 0.749 0.251 0.000
Nb: 0.000 0.749 0.251
Ta: 0.251 0.500 0.749
Sb: 0.750 0.750 0.750
Ta: 0.500 0.749 0.251
Ta: 0.749 0.251 0.500
Sb: 0.250 0.250 0.250

***

Entry 7:
Below is a geometry-optimized Cs2CdSnBr6 structure, with properties calculated at the PBE level.

Calculated values
The value obtained for the total energy is -2.894 eV/atom. As for the crystal system: cubic.

Unit cell a=8.123 b=8.123 c=8.123 alpha=60.00 beta=60.00 gamma=60.00
Atoms (fractional coordinates):
Br: 0.755 0.245 0.245
Br: 0.245 0.755 0.245
Br: 0.755 0.245 0.755
Br: 0.245 0.755 0.755
Sn: 0.500 0.500 0.500
Br: 0.755 0.755 0.245
Cs: 0.750 0.750 0.750
Cs: 0.250 0.250 0.250
Br: 0.245 0.245 0.755
Cd: 0.000 0.000 0.000

***

Entry 8:
Below is a geometry-optimized NbBPd2 structure, with properties calculated at the PBE level.

Calculated values
The value obtained for the total energy is -6.607 eV/atom. The total magnetization comes out at 0.00 Bohr magnetons per cell. As for the crystal system: cubic.

Unit cell a=4.291 b=4.291 c=4.291 alpha=60.00 beta=60.00 gamma=60.00
Atoms (fractional coordinates):
B: 0.500 0.500 0.500
Pd: 0.000 0.000 0.000
Pd: 0.750 0.750 0.750
Nb: 0.250 0.250 0.250

***

Question: Which formula does entry 8 have?
Answer: NbBPd2